# CeB11

A geometry-optimized CeB11 structure (GGA-PBE, the Alexandria database).

Uncorrected energy   -0.43553 Ry per atom

Geometry as CIF:
```
data_CeB11
_chemical_formula_sum 'Ce4 B44'
_cell_length_a 7.0235
_cell_length_b 7.0235
_cell_length_c 8.5626
_cell_angle_alpha 90.00
_cell_angle_beta 90.00
_cell_angle_gamma 90.00
_space_group_name_H-M_alt 'I 41/a m d'
_space_group_IT_number 141
loop_
_space_group_symop_operation_xyz
'x,y,z'
'-x,-y,-z'
'-y+1/4,x+3/4,z+1/4'
'y+1/4,-x+3/4,-z+1/4'
'-x+1/2,-y,z+1/2'
'x+1/2,y,-z+1/2'
'y+1/4,-x+1/4,z+3/4'
'-y+1/4,x+1/4,-z+3/4'
'x,-y,-z'
'-x,y,z'
'-y+1/4,-x+1/4,-z+3/4'
'y+1/4,x+1/4,z+3/4'
'-x+1/2,y,-z+1/2'
'x+1/2,-y,z+1/2'
'y+1/4,x+3/4,-z+1/4'
'-y+1/4,-x+3/4,z+1/4'
'x+1/2,y+1/2,z+1/2'
'-x+1/2,-y+1/2,-z+1/2'
'-y+3/4,x+1/4,z+3/4'
'y+3/4,-x+1/4,-z+3/4'
'-x,-y+1/2,z'
'x,y+1/2,-z'
'y+3/4,-x+3/4,z+1/4'
'-y+3/4,x+3/4,-z+1/4'
'x+1/2,-y+1/2,-z+1/2'
'-x+1/2,y+1/2,z+1/2'
'-y+3/4,-x+3/4,-z+1/4'
'y+3/4,x+3/4,z+1/4'
'-x,y+1/2,-z'
'x,-y+1/2,z'
'y+3/4,x+1/4,-z+3/4'
'-y+3/4,-x+1/4,z+3/4'
loop_
_atom_site_label
_atom_site_fract_x
_atom_site_fract_y
_atom_site_fract_z
Ce1 0.0000 0.2500 0.3750
B1 0.0000 0.0000 0.0000
B2 0.0000 0.2500 0.8750
B3 0.1384 0.0607 0.6741
```

***

# CeB6

A geometry-optimized CeB6 structure (GGA-PBE, the Alexandria database).

Uncorrected energy   -0.50139 Ry per atom

Geometry as CIF:
```
data_CeB6
_chemical_formula_sum 'Ce2 B12'
_cell_length_a 5.0239
_cell_length_b 5.0239
_cell_length_c 5.0239
_cell_angle_alpha 90.00
_cell_angle_beta 90.00
_cell_angle_gamma 90.00
_space_group_name_H-M_alt 'I m -3 m'
_space_group_IT_number 229
_space_group_name_Hall '-I 4 2 3'
loop_
_atom_site_label
_atom_site_fract_x
_atom_site_fract_y
_atom_site_fract_z
Ce1 0.0000 0.0000 0.0000
B1 0.0000 0.2500 0.5000
```

***

# Ce3B

A geometry-optimized Ce3B structure (GGA-PBE, the Alexandria database).

Uncorrected energy   -0.44097 Ry per atom

Geometry as CIF:
```
data_Ce3B
_chemical_formula_sum 'Ce6 B2'
_cell_length_a 3.4375
_cell_length_b 8.8312
_cell_length_c 5.8669
_cell_angle_alpha 90.00
_cell_angle_beta 90.00
_cell_angle_gamma 90.00
_space_group_name_H-M_alt 'I m m 2'
_space_group_IT_number 44
_space_group_name_Hall 'I 2 -2'
loop_
_atom_site_label
_atom_site_fract_x
_atom_site_fract_y
_atom_site_fract_z
Ce1 0.0000 0.0000 0.0000
Ce2 0.0000 0.1836 0.4522
B1 0.0000 0.5000 0.1778
```

***

Record-wise formation energy values, in eV per formula unit: 8.28 -1.75 0.48
Record-wise DOS(E_F) values, in states/eV/f.u.: 4.7 0.4 9.3